Record 1
Entry from Alexandria: crystalline Y3CdNi at its relaxed geometry (GGA-PBE).

Geometry as extended XYZ:
```
10
Lattice="5.4994 -0.0118 0.3286 -2.7829 5.8861 -0.6535 0.5170 -3.0587 8.2780" Properties=species:S:1:pos:R:3 pbc="T T T"
Y 2.8987 2.3796 6.1001
Y 0.3349 0.4360 1.8531
Y 2.7702 -1.4827 7.4257
Y 3.1690 2.7615 2.4426
Y 0.4634 4.2983 0.5274
Y 0.0645 0.0541 5.5106
Cd 0.3283 2.9407 3.9686
Cd 2.9052 -0.1252 3.9846
Ni -0.1257 -1.1890 8.0209
Ni 3.3592 4.0046 -0.0677
```

Properties
excess energy over the best structure of this formula in the dataset	0	meV/atom

=====

Record 2
Entry from Alexandria: crystalline SrLi2Al at its relaxed geometry (GGA-PBE).

Geometry as extended XYZ:
```
4
Lattice="5.5584 0.0536 0.0000 1.2034 5.4268 0.0000 -3.3809 -2.7402 3.4582" Properties=species:S:1:pos:R:3 pbc="T T T"
Al 2.7792 0.0268 1.7291
Li 0.6017 2.7134 1.7291
Li 0.0000 0.0000 0.0000
Sr 3.3809 2.7402 0.0000
```

=====

Quick rundown of energy of formation from the pure elements, same order as above: -0.277 0.033 eV/atom